[1]
A plane-wave DFT calculation with PBE was carried out for a relaxed SrSi2Mo crystal.

- Total moment: 0.0 μB per formula unit
- E above lowest polymorph: 0.821 eV/atom
- V: 77.2 Å³/f.u.
- Formation energy (no corrections): 2.46 eV/f.u.

Lattice parameters (Å, degrees): 4.540 4.547 3.739 90.00 90.00 90.00
Fractional coordinates of all 4 atoms:
Mo  0.000  0.500  0.500
Si  0.000  0.000  0.000
Si  0.500  0.500  0.000
Sr  0.500  0.000  0.500

[2]
A plane-wave DFT calculation with PBE was carried out for a relaxed SrSi2Mo crystal.

- Total moment: 0.0 μB per formula unit
- E above lowest polymorph: 0.134 eV/atom
- V: 83.3 Å³/f.u.
- Formation energy (no corrections): -0.28 eV/f.u.

Lattice parameters (Å, degrees): 3.623 3.513 6.774 74.96 90.00 90.00
Fractional coordinates of all 4 atoms:
Mo  0.500  0.738  0.898
Si  0.000  0.212  0.951
Si  0.500  0.092  0.191
Sr  0.000  0.458  0.460

[3]
A plane-wave DFT calculation with PBE was carried out for a relaxed Sr2SiMo crystal.

- Total moment: 3.3 μB per formula unit
- V: 108.7 Å³/f.u.
- Formation energy (no corrections): 2.72 eV/f.u.

Lattice parameters (Å, degrees): 3.624 4.479 6.695 90.00 90.00 90.00
Site moments in Bohr magnetons follow the coordinates.
Fractional coordinates of all 4 atoms:
Mo  0.500  0.500  0.250  2.65
Si  0.500  0.500  0.750  -0.02
Sr  0.000  0.000  0.989  0.03
Sr  0.000  0.000  0.511  0.03

[4]
A plane-wave DFT calculation with PBE was carried out for a relaxed Sr2SiMo crystal.

- Total moment: 0.0 μB per formula unit
- V: 111.9 Å³/f.u.
- Formation energy (no corrections): 0.45 eV/f.u.

Lattice parameters (Å, degrees): 3.517 3.517 9.044 90.00 90.00 90.00
Fractional coordinates of all 4 atoms:
Mo  0.000  0.000  0.593
Si  0.500  0.500  0.661
Sr  0.000  0.000  0.920
Sr  0.500  0.500  0.326

[5]
A plane-wave DFT calculation with PBE was carried out for a relaxed SrSi2Mo crystal.

- Total moment: 0.0 μB per formula unit
- E above lowest polymorph: 0.005 eV/atom
- V: 76.1 Å³/f.u.
- Formation energy (no corrections): -0.80 eV/f.u.

Lattice parameters (Å, degrees): 3.288 3.273 7.791 65.15 90.00 90.00
Fractional coordinates of all 4 atoms:
Mo  0.500  0.750  0.750
Si  0.000  0.072  0.928
Si  0.000  0.428  0.572
Sr  0.500  0.250  0.250

[6]
A plane-wave DFT calculation with PBE was carried out for a relaxed Sr2SiMo crystal.

- Total moment: 3.5 μB per formula unit
- V: 108.6 Å³/f.u.
- Formation energy (no corrections): 2.67 eV/f.u.

Lattice parameters (Å, degrees): 4.868 4.868 4.581 89.99 89.99 89.98
Site moments in Bohr magnetons follow the coordinates.
Fractional coordinates of all 4 atoms:
Mo  0.500  0.000  0.500  2.93
Si  0.000  0.500  0.500  -0.05
Sr  0.000  0.000  0.000  0.03
Sr  0.500  0.500  0.000  0.03